Li3NiCl4: relaxed, PBE.

The calculation puts the formation energy without anion corrections at -1331 meV per atom. As for the crystal system: cubic. The value obtained for the magnetic moment is 1.00 μB per formula unit.

Structure (POSCAR):
```
Li3NiCl4
1.0
5.478 0.000 0.000
0.000 5.478 0.000
0.000 0.000 5.478
Li Ni Cl
3 1 4
Direct
0.000 0.000 0.500
0.000 0.500 0.000
0.500 0.000 0.000
0.500 0.500 0.500
0.253 0.253 0.747
0.253 0.747 0.253
0.747 0.253 0.253
0.747 0.747 0.747
```